No. 1
Compound: K2Pa2Te7
Source: Alexandria via LeMat-Bulk
Functional: GGA-PBE
Structure: optimized geometry

POSCAR file:
```
K2Pa2Te7
1.0
4.686 -5.384 0.000
4.686 5.384 0.000
0.000 0.000 8.857
K Pa Te
2 2 7
direct
0.235 0.235 0.000 K
0.765 0.765 0.000 K
0.274 0.726 0.500 Pa
0.726 0.274 0.500 Pa
0.000 0.000 0.500 Te
0.000 0.500 0.276 Te
0.000 0.500 0.724 Te
0.500 0.000 0.276 Te
0.500 0.000 0.724 Te
0.500 0.500 0.284 Te
0.500 0.500 0.716 Te
```

Summary:
For the energy above the most stable polymorph in this dataset, the calculation gives 0.000 eV per atom. Its space group is Cmmm (65).


No. 2
Compound: K2Pa2Te7
Source: Alexandria via LeMat-Bulk
Functional: GGA-PBE
Structure: optimized geometry

POSCAR file:
```
K2Pa2Te7
1.0
4.349 -4.404 0.000
4.349 4.404 0.000
-0.410 0.000 11.050
K Pa Te
2 2 7
direct
0.245 0.755 0.000 K
0.755 0.245 0.000 K
0.187 0.187 0.605 Pa
0.813 0.813 0.395 Pa
0.072 0.694 0.640 Te
0.249 0.249 0.868 Te
0.306 0.928 0.360 Te
0.500 0.500 0.500 Te
0.694 0.072 0.640 Te
0.751 0.751 0.132 Te
0.928 0.306 0.360 Te
```

Summary:
For the energy above the most stable polymorph in this dataset, the calculation gives 0.014 eV per atom. Its space group is C2/m (12).


No. 3
Compound: K4PaTe4
Source: Alexandria via LeMat-Bulk
Functional: GGA-PBE
Structure: optimized geometry

POSCAR file:
```
K4PaTe4
1.0
-4.194 4.194 7.271
4.194 -4.194 7.271
4.194 4.194 -7.271
K Pa Te
4 1 4
direct
0.000 0.500 0.500 K
0.203 0.203 0.000 K
0.500 0.000 0.500 K
0.797 0.797 0.000 K
0.500 0.500 0.000 Pa
0.180 0.587 0.000 Te
0.413 0.413 0.593 Te
0.587 0.180 0.000 Te
0.820 0.820 0.407 Te
```

Summary:
Its space group is I-42m (121).


No. 4
Compound: KPaTe
Source: Alexandria via LeMat-Bulk
Functional: GGA-PBE
Structure: optimized geometry

POSCAR file:
```
KPaTe
1.0
2.013 1.162 15.137
-2.013 1.162 15.137
0.000 -2.324 15.137
K Pa Te
2 2 2
direct
0.121 0.121 0.121 K
0.879 0.879 0.879 K
0.316 0.316 0.316 Pa
0.684 0.684 0.684 Pa
0.398 0.398 0.398 Te
0.602 0.602 0.602 Te
```

Summary:
Its space group is R-3m (166).


No. 5
Compound: K4PaTe5
Source: Alexandria via LeMat-Bulk
Functional: GGA-PBE
Structure: optimized geometry

POSCAR file:
```
K4PaTe5
1.0
-5.509 5.509 3.444
5.509 -5.509 3.444
5.509 5.509 -3.444
K Pa Te
4 1 5
direct
0.085 0.698 0.784 K
0.302 0.085 0.387 K
0.698 0.915 0.613 K
0.915 0.302 0.216 K
0.457 0.457 0.000 Pa
0.024 0.024 0.000 Te
0.247 0.418 0.662 Te
0.418 0.755 0.170 Te
0.585 0.247 0.830 Te
0.755 0.585 0.338 Te
```

Summary:
For the energy above the most stable polymorph in this dataset, the calculation gives 0.000 eV per atom. Its space group is I4 (79).


No. 6
Compound: K2PaTe4
Source: Alexandria via LeMat-Bulk
Functional: GGA-PBE
Structure: optimized geometry

POSCAR file:
```
K2PaTe4
1.0
-2.630 2.630 8.553
2.630 -2.630 8.553
2.630 2.630 -8.553
K Pa Te
2 1 4
direct
0.244 0.244 0.000 K
0.756 0.756 0.000 K
0.500 0.500 0.000 Pa
0.104 0.604 0.500 Te
0.396 0.896 0.500 Te
0.604 0.104 0.500 Te
0.896 0.396 0.500 Te
```

Summary:
For the energy above the most stable polymorph in this dataset, the calculation gives 0.040 eV per atom. Its space group is I4/mmm (139).


It is found that the energy relative to the elements, uncorrected values, taken in the order of the records, are -781; -767; -893; -316; -921; -776 meV per atom.